NdHoGa2Cu2: optimized geometry, GGA-PBE.

electronic total energy = -4.41 eV per atom
energy of formation from the pure elements = -0.48 eV per atom

abc: 4.372 4.372 7.336
angles: 90.00 90.00 120.00
Fractional coordinates of all 6 atoms:
Nd (0.000, 0.000, 0.000)
Ho (0.000, 0.000, 0.500)
Ga (0.333, 0.667, 0.270)
Ga (0.667, 0.333, 0.730)
Cu (0.333, 0.667, 0.721)
Cu (0.667, 0.333, 0.279)

LiTe2IN: optimized geometry, GGA-PBE.

polymorph energy (0 for the lowest one) = 0.376 eV/atom
electronic total energy = -2.74 eV per atom
formation energy without anion corrections = 875 meV per atom

abc: 6.141 6.141 3.903
angles: 90.00 90.00 90.00
Fractional coordinates of all 5 atoms:
I (0.000, 0.000, 0.000)
Te (0.000, 0.500, 0.000)
Te (0.500, 0.000, 0.000)
Li (0.500, 0.500, 0.500)
N (0.000, 0.000, 0.500)

ScOs2Pb: optimized geometry, GGA-PBE.

electronic total energy = -7.75 eV per atom
energy of formation from the pure elements = 0.37 eV per atom

abc: 4.891 4.891 5.208
angles: 79.15 79.15 36.34
Fractional coordinates of all 4 atoms:
Os (0.987, 0.987, 0.039)
Os (0.513, 0.513, 0.461)
Pb (0.750, 0.750, 0.750)
Sc (0.250, 0.250, 0.250)

Tb6Ce2Pm3Dy: optimized geometry, GGA-PBE.

electronic total energy = -4.83 eV per atom
energy of formation from the pure elements = 0.05 eV per atom

abc: 6.194 6.194 11.816
angles: 95.01 95.01 120.00
Site moments in Bohr magnetons follow the coordinates.
Fractional coordinates of all 12 atoms:
Tb (0.918, 0.582, 0.754)  0.02
Tb (0.747, 0.747, 0.246)  0.01
Tb (0.082, 0.418, 0.246)  0.02
Tb (0.582, 0.918, 0.754)  0.02
Tb (0.253, 0.253, 0.754)  0.01
Tb (0.418, 0.082, 0.246)  0.02
Ce (0.333, 0.667, 0.000)  0.74
Ce (0.667, 0.333, 0.000)  0.74
Pm (0.166, 0.834, 0.500)  -0.01
Pm (0.834, 0.166, 0.500)  -0.01
Pm (0.500, 0.500, 0.500)  -0.01
Dy (0.000, 0.000, 0.000)  0.05

AcPm8Pr2: optimized geometry, GGA-PBE.

polymorph energy (0 for the lowest one) = 0.029 eV/atom
electronic total energy = -4.55 eV per atom
energy of formation from the pure elements = 0.15 eV per atom

abc: 6.945 10.618 10.618
angles: 37.84 58.07 58.07
Fractional coordinates of all 11 atoms:
Ac (0.000, 0.000, 0.000)
Pm (0.761, 0.177, 0.640)
Pm (0.239, 0.360, 0.823)
Pm (0.813, 0.240, 0.240)
Pm (0.187, 0.760, 0.760)
Pm (0.761, 0.640, 0.177)
Pm (0.239, 0.823, 0.360)
Pm (0.266, 0.410, 0.410)
Pm (0.734, 0.590, 0.590)
Pr (0.373, 0.209, 0.209)
Pr (0.627, 0.791, 0.791)

TiTc2W3: optimized geometry, GGA-PBE.

electronic total energy = -11.21 eV per atom
energy of formation from the pure elements = 0.03 eV per atom

abc: 4.395 6.798 6.943
angles: 95.99 108.45 90.00
Fractional coordinates of all 12 atoms:
Ti (0.149, 0.282, 0.297)
Ti (0.851, 0.718, 0.703)
Tc (0.461, 0.800, 0.923)
Tc (0.539, 0.200, 0.077)
Tc (0.228, 0.654, 0.457)
Tc (0.772, 0.346, 0.543)
W (0.693, 0.966, 0.385)
W (0.074, 0.879, 0.148)
W (0.387, 0.430, 0.775)
W (0.613, 0.570, 0.225)
W (0.926, 0.121, 0.852)
W (0.307, 0.034, 0.615)

MnHPd3: optimized geometry, GGA-PBE.

polymorph energy (0 for the lowest one) = 0.458 eV/atom
electronic total energy = -5.39 eV per atom

abc: 5.241 5.241 6.063
angles: 64.39 64.39 90.00
Site moments in Bohr magnetons follow the coordinates.
Fractional coordinates of all 10 atoms:
H (0.000, 0.000, 0.000)  0.00
H (0.250, 0.750, 0.500)  0.00
Mn (0.648, 0.148, 0.704)  1.80
Mn (0.852, 0.352, 0.296)  1.76
Pd (0.628, 0.883, 0.234)  0.00
Pd (0.117, 0.372, 0.766)  0.03
Pd (0.117, 0.862, 0.766)  0.03
Pd (0.138, 0.883, 0.234)  0.00
Pd (0.367, 0.367, 0.266)  0.03
Pd (0.633, 0.633, 0.734)  0.06

GdY2Hg: optimized geometry, GGA-PBE.

polymorph energy (0 for the lowest one) = 0.054 eV/atom
electronic total energy = -7.00 eV per atom
energy of formation from the pure elements = -0.18 eV per atom

abc: 4.766 4.864 4.864
angles: 90.00 90.00 90.00
Site moments in Bohr magnetons follow the coordinates.
Fractional coordinates of all 4 atoms:
Y (0.000, 0.000, 0.500)  -0.12
Y (0.000, 0.500, 0.000)  -0.12
Gd (0.500, 0.500, 0.500)  -7.29
Hg (0.500, 0.000, 0.000)  0.01

U3Se3S: optimized geometry, GGA-PBE.

electronic total energy = -7.86 eV per atom
formation energy without anion corrections = -944 meV per atom

abc: 7.182 7.182 7.264
angles: 87.81 87.81 109.85
Site moments in Bohr magnetons follow the coordinates.
Fractional coordinates of all 14 atoms:
U (0.946, 0.946, 0.160)  1.18
U (0.817, 0.499, 0.669)  2.84
U (0.499, 0.817, 0.669)  2.84
U (0.183, 0.501, 0.331)  2.84
U (0.501, 0.183, 0.331)  2.84
U (0.054, 0.054, 0.840)  1.18
Se (0.635, 0.635, 0.353)  -0.07
Se (0.147, 0.853, 0.500)  -0.06
Se (0.853, 0.147, 0.500)  -0.06
Se (0.230, 0.770, 0.000)  -0.06
Se (0.770, 0.230, 0.000)  -0.06
Se (0.365, 0.365, 0.647)  -0.07
S (0.724, 0.724, 0.905)  -0.06
S (0.276, 0.276, 0.095)  -0.06

FeRuBr2: optimized geometry, GGA-PBE.

polymorph energy (0 for the lowest one) = 0.692 eV/atom
electronic total energy = -4.43 eV per atom
formation energy without anion corrections = 837 meV per atom

abc: 4.593 4.593 3.229
angles: 90.00 90.00 90.00
Site moments in Bohr magnetons follow the coordinates.
Fractional coordinates of all 4 atoms:
Br (0.000, 0.000, 0.000)  0.09
Br (0.500, 0.500, 0.000)  0.09
Fe (0.500, 0.000, 0.500)  3.03
Ru (0.000, 0.500, 0.500)  0.44

LiThZnGa2: optimized geometry, GGA-PBE.

electronic total energy = -3.76 eV per atom
energy of formation from the pure elements = -0.43 eV per atom

abc: 4.239 4.239 6.135
angles: 110.21 110.21 90.00
Fractional coordinates of all 5 atoms:
Li (0.750, 0.250, 0.500)
Th (0.000, 0.000, 0.000)
Zn (0.250, 0.750, 0.500)
Ga (0.617, 0.617, 0.235)
Ga (0.383, 0.383, 0.765)

MgCdNF2: optimized geometry, GGA-PBE.

polymorph energy (0 for the lowest one) = 0.000 eV/atom
electronic total energy = -4.21 eV per atom
formation energy without anion corrections = -1296 meV per atom

abc: 3.737 3.737 4.709
angles: 90.00 90.00 90.00
Site moments in Bohr magnetons follow the coordinates.
Fractional coordinates of all 5 atoms:
N (0.000, 0.000, 0.500)  0.69
Mg (0.000, 0.000, 0.000)  0.00
F (0.000, 0.500, 0.000)  0.02
F (0.500, 0.000, 0.000)  0.02
Cd (0.500, 0.500, 0.500)  -0.03

Which value of electronic total energy does entry 1 give?
-4.41 eV per atom

Repeat the tenth record exactly.
FeRuBr2: optimized geometry, GGA-PBE.

polymorph energy (0 for the lowest one) = 0.692 eV/atom
electronic total energy = -4.43 eV per atom
formation energy without anion corrections = 837 meV per atom

abc: 4.593 4.593 3.229
angles: 90.00 90.00 90.00
Site moments in Bohr magnetons follow the coordinates.
Fractional coordinates of all 4 atoms:
Br (0.000, 0.000, 0.000)  0.09
Br (0.500, 0.500, 0.000)  0.09
Fe (0.500, 0.000, 0.500)  3.03
Ru (0.000, 0.500, 0.500)  0.44

Among the records above, which one has the lowest electronic total energy?
TiTc2W3